A relaxed structure of MnSbF5, computed with PBE+U.

a = 5.2525 Å, b = 5.2525 Å, c = 7.6498 Å
α = 95.40°, β = 95.40°, γ = 92.76°
Closest atoms and distances in Å follow each position.
Fractional positions:
F 0.3683 0.8645 0.1352  1 Sb 2.00
Mn 0.0000 0.0000 0.5000  6 F 2.05-2.28
F 0.0971 0.9029 0.7500  2 Mn 2.05
Mn 0.0000 0.0000 0.0000  6 F 2.05-2.28
F 0.1355 0.6317 0.3648  1 Sb 2.00
F 0.6337 0.7765 0.4805  1 Sb 2.15, 1 Mn 2.19
Sb 0.5486 0.4514 0.7500  4 F 2.00-2.15
F 0.9029 0.0971 0.2500  2 Mn 2.05
F 0.8645 0.3683 0.6352  1 Sb 2.00
F 0.2235 0.3663 0.0195  1 Sb 2.15, 1 Mn 2.19
F 0.7765 0.6337 0.9805  1 Sb 2.15, 1 Mn 2.19
F 0.3663 0.2235 0.5195  1 Sb 2.15, 1 Mn 2.19
F 0.6317 0.1355 0.8648  1 Sb 2.00
Sb 0.4514 0.5486 0.2500  4 F 2.00-2.15

Summary:
- crystal system = monoclinic
- E (eV/atom) = -5.4436
- total magnetization (μB per atom) = 0.714
- symmetry = No. 15